Below is a relaxed structure of Cs2LiTeO4, with properties calculated at the PBE-GGA level.

Results
The magnetic moment is 0.86 μB per formula unit. The raw total energy comes out at -74.79 eV/cell. For the energy relative to the elements, uncorrected, the calculation gives -1.35 eV per atom.

a = 5.322 Å, b = 7.087 Å, c = 11.213 Å
α = 84.89°, β = 76.27°, γ = 67.95°
Sites, in units of the cell vectors:
O 0.221 0.167 0.911
O 0.869 0.833 0.911
Cs 0.578 0.500 0.844
Cs 0.828 0.000 0.344
Cs 0.172 0.000 0.656
Li 0.000 0.000 0.000
O 0.452 0.667 0.411
O 0.298 0.833 0.089
Cs 0.922 0.500 0.156
O 0.881 0.667 0.589
Te 0.250 0.500 0.500
O 0.612 0.167 0.089
Li 0.750 0.500 0.500
O 0.138 0.333 0.411
O 0.529 0.333 0.589
Te 0.500 0.000 0.000



Below is a relaxed structure of Cs2Li2TiO4, with properties calculated at the PBE-GGA level.

Results
The magnetic moment is 0.00 μB per formula unit. The raw total energy comes out at -106.61 eV/cell. For the energy relative to the elements, uncorrected, the calculation gives -2.23 eV per atom.

a = 5.843 Å, b = 5.964 Å, c = 9.608 Å
α = 83.92°, β = 74.58°, γ = 86.18°
Sites, in units of the cell vectors:
Li 0.692 0.586 0.424
O 0.977 0.427 0.290
Li 0.072 0.817 0.558
O 0.364 0.639 0.399
Cs 0.217 0.270 0.990
Li 0.928 0.183 0.442
Ti 0.863 0.318 0.708
O 0.636 0.361 0.601
O 0.741 0.204 0.893
O 0.899 0.863 0.403
O 0.259 0.796 0.107
O 0.023 0.573 0.710
Li 0.308 0.414 0.576
Cs 0.472 0.855 0.712
Ti 0.137 0.682 0.292
Cs 0.528 0.145 0.288
Cs 0.783 0.730 0.010
O 0.101 0.137 0.597



Below is a relaxed structure of CsLiTiO3, with properties calculated at the PBE-GGA level.

Results
The magnetic moment is 0.00 μB per formula unit. The raw total energy comes out at -81.05 eV/cell. For the energy relative to the elements, uncorrected, the calculation gives -2.50 eV per atom.

a = 5.474 Å, b = 5.562 Å, c = 7.480 Å
α = 111.82°, β = 90.00°, γ = 90.00°
Sites, in units of the cell vectors:
O 0.000 0.234 0.000
Cs 0.250 0.750 0.501
Li 0.750 0.514 0.028
O 0.500 0.234 0.000
Cs 0.750 0.250 0.499
Ti 0.750 0.958 0.916
O 0.750 0.831 0.662
O 0.000 0.766 0.000
O 0.250 0.169 0.338
Li 0.250 0.486 0.972
O 0.500 0.766 0.000
Ti 0.250 0.042 0.084



Below is a relaxed structure of CsLiTlO2, with properties calculated at the PBE-GGA level.

Results
The magnetic moment is 0.00 μB per formula unit. The raw total energy comes out at -40.04 eV/cell. For the energy relative to the elements, uncorrected, the calculation gives -0.99 eV per atom.

a = 5.154 Å, b = 6.590 Å, c = 7.471 Å
α = 116.17°, β = 90.00°, γ = 90.00°
Sites, in units of the cell vectors:
O 0.266 0.091 0.182
O 0.266 0.409 0.818
O 0.734 0.591 0.182
Tl 0.500 0.750 0.000
Li 0.000 0.000 0.000
O 0.734 0.909 0.818
Cs 0.766 0.250 0.500
Tl 0.500 0.250 0.000
Cs 0.234 0.750 0.500
Li 0.000 0.500 0.000